Record 1
{"formula": "Sc2AsPt", "functional": "PBEsol", "state": "optimized geometry", "spacegroup": "Amm2", "total_energy_ev_per_atom": -7.5642, "relative_energy_mev_per_atom": 0.0, "formation_enthalpy_0k_ev_per_atom": -1.244, "magnetic_moment_mub_per_cell": 0.0, "rho_g_cm3": 8.1, "lattice_angstrom": [[3.677, 0.000, 0.000], [0.000, 3.992, 0.000], [-1.838, 0.000, 5.035]], "species": ["Sc", "Sc", "Pt", "As"], "fractional_positions": [[0.265, 0.000, 0.529], [0.981, 0.500, 0.963], [0.716, 0.500, 0.431], [0.538, 0.000, 0.076]]}

Record 2
{"formula": "Sc2AsPt", "functional": "PBEsol", "state": "optimized geometry", "spacegroup": "I4/mmm", "total_energy_ev_per_atom": -7.3252, "relative_energy_mev_per_atom": 239.0, "formation_enthalpy_0k_ev_per_atom": -1.005, "magnetic_moment_mub_per_cell": 0.0, "rho_g_cm3": 8.4, "lattice_angstrom": [[4.489, 0.000, 0.000], [-2.245, 4.179, -0.002], [0.000, -2.409, 3.788]], "species": ["Sc", "Sc", "As", "Pt"], "fractional_positions": [[0.250, 0.500, 0.750], [0.750, 0.500, 0.250], [0.500, 0.000, 0.500], [0.000, 0.000, 0.000]]}

Record 3
{"formula": "Sc2AsPt", "functional": "PBEsol", "state": "optimized geometry", "spacegroup": "F-43m", "total_energy_ev_per_atom": -6.7978, "relative_energy_mev_per_atom": 766.4, "formation_enthalpy_0k_ev_per_atom": -0.478, "magnetic_moment_mub_per_cell": 1.1, "rho_g_cm3": 8.5, "lattice_angstrom": [[4.628, 0.000, 0.000], [2.314, 4.008, 0.000], [2.314, 1.336, 3.778]], "species": ["Sc", "Sc", "As", "Pt"], "fractional_positions": [[0.750, 0.750, 0.750], [0.000, 0.000, 0.000], [0.500, 0.500, 0.500], [0.250, 0.250, 0.250]]}

Record 4
{"formula": "ScAs2PtSe", "functional": "PBEsol", "state": "optimized geometry", "spacegroup": "P4/mmm", "total_energy_ev_per_atom": -4.8990, "formation_energy_uncorrected_ev_per_atom": 0.627, "magnetic_moment_mub_per_cell": 0.0, "rho_g_cm3": 6.6, "lattice_angstrom": [[4.839, 0.000, 0.000], [0.000, 4.951, 0.000], [0.000, 0.000, 4.951]], "species": ["As", "As", "Sc", "Pt", "Se"], "fractional_positions": [[0.000, 0.500, 0.000], [0.000, 0.000, 0.500], [0.000, 0.000, 0.000], [0.500, 0.500, 0.500], [0.500, 0.000, 0.000]]}

Record 5
{"formula": "As2PtSe", "functional": "PBEsol", "state": "optimized geometry", "spacegroup": "R-3m", "total_energy_ev_per_atom": -5.4003, "formation_energy_uncorrected_ev_per_atom": -0.144, "magnetic_moment_mub_per_cell": 0.0, "rho_g_cm3": 9.4, "lattice_angstrom": [[3.662, 0.000, 0.000], [1.831, 3.171, 0.000], [1.831, 1.057, 6.435]], "species": ["Pt", "Se", "As", "As"], "fractional_positions": [[0.500, 0.500, 0.500], [0.000, 0.000, 0.000], [0.760, 0.760, 0.721], [0.240, 0.240, 0.279]]}

Record 6
{"formula": "AsPtSe", "functional": "PBEsol", "state": "optimized geometry", "spacegroup": "P3m1", "total_energy_ev_per_atom": -5.6195, "formation_energy_uncorrected_ev_per_atom": -0.313, "magnetic_moment_mub_per_cell": 0.0, "rho_g_cm3": 10.2, "lattice_angstrom": [[-3.657, 0.276, -0.664], [1.680, -3.322, -0.175], [-0.887, -0.691, 4.593]], "species": ["Se", "Pt", "As"], "fractional_positions": [[0.667, 0.333, 0.387], [0.333, 0.667, 0.677], [0.000, 0.000, 0.937]]}

Record 7
{"formula": "As2PtSe", "functional": "PBEsol", "state": "optimized geometry", "spacegroup": "I4/mmm", "total_energy_ev_per_atom": -5.3582, "formation_energy_uncorrected_ev_per_atom": -0.102, "magnetic_moment_mub_per_cell": 0.0, "rho_g_cm3": 9.8, "lattice_angstrom": [[-1.914, 1.554, -3.816], [3.732, -2.380, -1.023], [-2.929, -2.694, 2.191]], "species": ["As", "As", "Pt", "Se"], "fractional_positions": [[0.500, 0.500, 0.000], [0.500, 0.000, 0.500], [0.000, 0.500, 0.500], [0.000, 0.000, 0.000]]}

Record 8
{"formula": "SiAsPt2", "functional": "PBEsol", "state": "optimized geometry", "spacegroup": "I-42d", "total_energy_ev_per_atom": -6.4084, "formation_energy_uncorrected_ev_per_atom": -0.213, "magnetic_moment_mub_per_cell": 0.0, "rho_g_cm3": 10.2, "lattice_angstrom": [[-2.382, 3.664, -3.725], [-5.225, -1.657, 1.711], [3.817, 2.468, 4.412]], "species": ["Si", "Si", "As", "As", "Pt", "Pt", "Pt", "Pt"], "fractional_positions": [[0.500, 0.500, 0.000], [0.750, 0.250, 0.500], [0.000, 0.000, 0.000], [0.250, 0.750, 0.500], [0.387, 0.875, 0.250], [0.863, 0.375, 0.250], [0.625, 0.613, 0.750], [0.125, 0.137, 0.750]]}

Record 9
{"formula": "SiAsPt2", "functional": "PBEsol", "state": "optimized geometry", "spacegroup": "I-4m2", "total_energy_ev_per_atom": -6.2959, "formation_energy_uncorrected_ev_per_atom": -0.101, "magnetic_moment_mub_per_cell": 0.0, "rho_g_cm3": 13.6, "lattice_angstrom": [[3.803, 0.000, 0.000], [0.000, 3.803, 0.000], [-1.901, -1.901, 4.168]], "species": ["Pt", "Pt", "Si", "As"], "fractional_positions": [[0.000, 0.000, 0.000], [0.750, 0.250, 0.500], [0.500, 0.500, 0.000], [0.250, 0.750, 0.500]]}

Record 10
{"formula": "SiAs2Pt", "functional": "PBEsol", "state": "optimized geometry", "spacegroup": "R-3m", "total_energy_ev_per_atom": -5.7782, "formation_energy_uncorrected_ev_per_atom": -0.048, "magnetic_moment_mub_per_cell": 0.0, "rho_g_cm3": 9.0, "lattice_angstrom": [[-3.557, -0.588, -0.491], [-1.139, -3.107, -1.514], [-1.896, -3.748, 4.746]], "species": ["Pt", "Si", "As", "As"], "fractional_positions": [[0.000, 0.000, 0.000], [0.500, 0.500, 0.500], [0.748, 0.748, 0.755], [0.252, 0.252, 0.245]]}

Record 11
{"formula": "SiAs2Pt", "functional": "PBEsol", "state": "optimized geometry", "spacegroup": "Cmmm", "total_energy_ev_per_atom": -5.5244, "formation_energy_uncorrected_ev_per_atom": 0.206, "magnetic_moment_mub_per_cell": 0.0, "rho_g_cm3": 9.5, "lattice_angstrom": [[3.298, 0.000, 0.000], [0.000, 4.505, 0.018], [0.000, -1.000, 4.393]], "species": ["As", "As", "Si", "Pt"], "fractional_positions": [[0.000, 0.500, 0.000], [0.000, 0.000, 0.500], [0.500, 0.500, 0.500], [0.500, 0.000, 0.000]]}

Record 12
{"formula": "SiAsPt4", "functional": "PBEsol", "state": "optimized geometry", "spacegroup": "F-43m", "total_energy_ev_per_atom": -6.1710, "formation_energy_uncorrected_ev_per_atom": 0.280, "magnetic_moment_mub_per_cell": 0.0, "rho_g_cm3": 14.6, "lattice_angstrom": [[-0.031, -4.987, 1.524], [4.477, -2.653, 0.330], [1.916, -1.311, 4.670]], "species": ["Pt", "Pt", "Pt", "Pt", "Si", "As"], "fractional_positions": [[0.875, 0.375, 0.375], [0.375, 0.875, 0.375], [0.375, 0.375, 0.375], [0.375, 0.375, 0.875], [0.750, 0.750, 0.750], [0.000, 0.000, 0.000]]}

Record 13
{"formula": "SiAs2Pt", "functional": "PBEsol", "state": "optimized geometry", "spacegroup": "Pmmm", "total_energy_ev_per_atom": -5.5273, "formation_energy_uncorrected_ev_per_atom": 0.203, "magnetic_moment_mub_per_cell": 0.0, "rho_g_cm3": 9.4, "lattice_angstrom": [[2.890, 0.000, 0.000], [0.000, 3.289, 0.000], [0.000, 0.000, 6.944]], "species": ["Pt", "Si", "As", "As"], "fractional_positions": [[0.500, 0.500, 0.000], [0.500, 0.500, 0.500], [0.000, 0.000, 0.237], [0.000, 0.000, 0.763]]}

Record 14
{"formula": "SmAsPt", "functional": "PBEsol", "state": "optimized geometry", "spacegroup": "P6_3/mmc", "total_energy_ev_per_atom": -6.9734, "formation_enthalpy_0k_ev_per_atom": -1.253, "magnetic_moment_mub_per_cell": 0.0, "rho_g_cm3": 11.4, "lattice_angstrom": [[-0.223, -2.963, -3.080], [2.672, -0.539, 3.299], [-11.146, -7.302, 7.832]], "species": ["Sm", "Sm", "Sm", "Sm", "As", "As", "As", "As", "Pt", "Pt", "Pt", "Pt"], "fractional_positions": [[0.000, 0.000, 0.500], [0.000, 0.000, 0.000], [0.000, 0.000, 0.250], [0.000, 0.000, 0.750], [0.333, 0.667, 0.618], [0.667, 0.333, 0.382], [0.667, 0.333, 0.118], [0.333, 0.667, 0.882], [0.333, 0.667, 0.367], [0.667, 0.333, 0.633], [0.333, 0.667, 0.133], [0.667, 0.333, 0.867]]}

Record 15
{"formula": "Sr2AsPt", "functional": "PBEsol", "state": "optimized geometry", "spacegroup": "Amm2", "total_energy_ev_per_atom": -4.8213, "formation_enthalpy_0k_ev_per_atom": -0.884, "magnetic_moment_mub_per_cell": 0.0, "rho_g_cm3": 6.9, "lattice_angstrom": [[-1.127, 0.689, 4.270], [-4.318, -0.789, -1.012], [2.865, -4.780, 1.527]], "species": ["Sr", "Sr", "As", "Pt"], "fractional_positions": [[0.000, 0.268, 0.535], [0.500, 0.982, 0.964], [0.000, 0.569, 0.137], [0.500, 0.682, 0.364]]}

Record 16
{"formula": "Sr3AsPt", "functional": "PBEsol", "state": "optimized geometry", "spacegroup": "Pm-3m", "total_energy_ev_per_atom": -3.7786, "formation_enthalpy_0k_ev_per_atom": -0.260, "magnetic_moment_mub_per_cell": 0.0, "rho_g_cm3": 4.7, "lattice_angstrom": [[-0.637, 0.840, 5.623], [-1.005, -5.586, 0.721], [5.596, -0.908, 0.769]], "species": ["Sr", "Sr", "Sr", "Pt", "As"], "fractional_positions": [[0.500, 0.000, 0.000], [0.000, 0.500, 0.000], [0.000, 0.000, 0.500], [0.500, 0.500, 0.500], [0.000, 0.000, 0.000]]}

Record 17
{"formula": "Sr2AsPt", "functional": "PBEsol", "state": "optimized geometry", "spacegroup": "I-42d", "total_energy_ev_per_atom": -4.4266, "formation_enthalpy_0k_ev_per_atom": -0.489, "magnetic_moment_mub_per_cell": 0.0, "rho_g_cm3": 6.9, "lattice_angstrom": [[-0.927, 5.413, 3.649], [-5.012, -2.553, -3.441], [1.558, -4.687, 4.368]], "species": ["As", "As", "Sr", "Sr", "Sr", "Sr", "Pt", "Pt"], "fractional_positions": [[0.500, 0.500, 0.000], [0.750, 0.250, 0.500], [0.888, 0.875, 0.513], [0.625, 0.112, 0.987], [0.125, 0.638, 0.013], [0.362, 0.375, 0.487], [0.250, 0.750, 0.500], [0.000, 0.000, 0.000]]}

Record 18
{"formula": "SrAsPt", "functional": "PBEsol", "state": "optimized geometry", "spacegroup": "P6_3/mmc", "total_energy_ev_per_atom": -5.6352, "formation_enthalpy_0k_ev_per_atom": -0.998, "magnetic_moment_mub_per_cell": 0.0, "rho_g_cm3": 8.6, "lattice_angstrom": [[-1.863, 1.295, -3.581], [-1.591, -3.292, 2.147], [-5.159, 5.552, 4.692]], "species": ["Sr", "Sr", "Pt", "Pt", "As", "As"], "fractional_positions": [[0.000, 0.000, 0.500], [0.000, 0.000, 0.000], [0.667, 0.333, 0.250], [0.333, 0.667, 0.750], [0.333, 0.667, 0.250], [0.667, 0.333, 0.750]]}

Record 19
{"formula": "Tc2AsPt", "functional": "PBEsol", "state": "optimized geometry", "spacegroup": "Cm", "total_energy_ev_per_atom": -8.6490, "formation_enthalpy_0k_ev_per_atom": 0.002, "magnetic_moment_mub_per_cell": 0.0, "rho_g_cm3": 13.2, "lattice_angstrom": [[-1.509, -0.745, 2.287], [1.909, -4.136, -0.088], [3.951, 2.158, 1.547]], "species": ["Pt", "Tc", "Tc", "As"], "fractional_positions": [[0.732, 0.239, 0.464], [0.265, 0.759, 0.530], [0.993, 0.979, 0.987], [0.509, 0.524, 0.019]]}

Record 20
{"formula": "Tc2AsPt", "functional": "PBEsol", "state": "optimized geometry", "spacegroup": "P4/mmm", "total_energy_ev_per_atom": -8.4351, "formation_enthalpy_0k_ev_per_atom": 0.216, "magnetic_moment_mub_per_cell": 0.0, "rho_g_cm3": 13.3, "lattice_angstrom": [[-2.024, 3.127, -0.547], [-0.192, -0.768, -3.681], [-3.444, -2.121, 0.622]], "species": ["As", "Tc", "Tc", "Pt"], "fractional_positions": [[0.500, 0.500, 0.500], [0.000, 0.500, 0.000], [0.500, 0.000, 0.000], [0.000, 0.000, 0.500]]}

Record 21
{"formula": "TeAsPt2", "functional": "PBEsol", "state": "optimized geometry", "spacegroup": "R3m", "total_energy_ev_per_atom": -5.9142, "formation_energy_uncorrected_ev_per_atom": -0.274, "relative_energy_mev_per_atom": 0.0, "magnetic_moment_mub_per_cell": 0.0, "rho_g_cm3": 12.0, "lattice_angstrom": [[-0.959, 0.335, 3.719], [-0.720, -3.154, 2.097], [5.601, -1.269, 3.557]], "species": ["Pt", "Pt", "Te", "As"], "fractional_positions": [[0.996, 0.996, 0.012], [0.743, 0.743, 0.770], [0.480, 0.480, 0.560], [0.281, 0.281, 0.158]]}

Record 22
{"formula": "TeAsPt2", "functional": "PBEsol", "state": "optimized geometry", "spacegroup": "F-43m", "total_energy_ev_per_atom": -5.3072, "formation_energy_uncorrected_ev_per_atom": 0.333, "relative_energy_mev_per_atom": 607.0, "magnetic_moment_mub_per_cell": 0.0, "rho_g_cm3": 13.7, "lattice_angstrom": [[-4.450, -1.279, -0.610], [-2.700, -0.897, 3.703], [-3.450, 2.934, 1.140]], "species": ["Pt", "Pt", "Te", "As"], "fractional_positions": [[0.000, 0.000, 0.000], [0.250, 0.250, 0.250], [0.750, 0.750, 0.750], [0.500, 0.500, 0.500]]}

Record 23
{"formula": "Te2AsPt", "functional": "PBEsol", "state": "optimized geometry", "spacegroup": "Immm", "total_energy_ev_per_atom": -4.8187, "formation_energy_uncorrected_ev_per_atom": -0.038, "magnetic_moment_mub_per_cell": 0.0, "rho_g_cm3": 9.1, "lattice_angstrom": [[-1.558, 1.406, 3.156], [2.782, -2.330, 2.411], [3.181, 4.888, -2.882]], "species": ["Te", "Te", "As", "Pt"], "fractional_positions": [[0.336, 0.336, 0.672], [0.664, 0.664, 0.328], [0.500, 0.000, 0.000], [0.000, 0.500, 0.000]]}

Record 24
{"formula": "Te2AsPt", "functional": "PBEsol", "state": "optimized geometry", "spacegroup": "R-3m", "total_energy_ev_per_atom": -4.3328, "formation_energy_uncorrected_ev_per_atom": 0.448, "magnetic_moment_mub_per_cell": 0.0, "rho_g_cm3": 8.5, "lattice_angstrom": [[-0.813, -1.893, -3.029], [1.759, -3.128, -0.732], [-5.811, -6.159, 3.193]], "species": ["Te", "Te", "Pt", "As"], "fractional_positions": [[0.095, 0.095, 0.715], [0.905, 0.905, 0.285], [0.000, 0.000, 0.000], [0.500, 0.500, 0.500]]}

Record 25
{"formula": "Te2AsPt", "functional": "PBEsol", "state": "optimized geometry", "spacegroup": "P4/mmm", "total_energy_ev_per_atom": -4.4937, "formation_energy_uncorrected_ev_per_atom": 0.287, "magnetic_moment_mub_per_cell": 0.0, "rho_g_cm3": 10.4, "lattice_angstrom": [[3.421, 0.000, 0.000], [0.000, 3.421, 0.000], [0.000, 0.000, 7.147]], "species": ["Te", "Te", "As", "Pt"], "fractional_positions": [[0.000, 0.000, 0.735], [0.000, 0.000, 0.265], [0.500, 0.500, 0.000], [0.500, 0.500, 0.500]]}

Record 26
{"formula": "TeAsPt", "functional": "PBEsol", "state": "optimized geometry", "spacegroup": "P3m1", "total_energy_ev_per_atom": -5.5137, "formation_energy_uncorrected_ev_per_atom": -0.315, "magnetic_moment_mub_per_cell": 0.0, "rho_g_cm3": 10.4, "lattice_angstrom": [[3.880, 0.000, 0.000], [-1.940, 3.360, 0.000], [0.000, 0.000, 4.886]], "species": ["Pt", "Te", "As"], "fractional_positions": [[0.333, 0.667, 0.687], [0.667, 0.333, 0.389], [0.000, 0.000, 0.924]]}

Record 27
{"formula": "TeAsPt", "functional": "PBEsol", "state": "optimized geometry", "spacegroup": "F-43m", "total_energy_ev_per_atom": -4.7229, "formation_energy_uncorrected_ev_per_atom": 0.476, "magnetic_moment_mub_per_cell": 0.0, "rho_g_cm3": 9.8, "lattice_angstrom": [[-0.668, -1.027, 4.406], [-2.974, -3.275, 1.159], [1.515, -3.976, 1.676]], "species": ["As", "Te", "Pt"], "fractional_positions": [[0.000, 0.000, 0.000], [0.250, 0.250, 0.250], [0.500, 0.500, 0.500]]}

Record 28
{"formula": "TeAsPt2", "functional": "PBEsol", "state": "optimized geometry", "spacegroup": "P4/mmm", "total_energy_ev_per_atom": -5.5951, "formation_energy_uncorrected_ev_per_atom": 0.045, "relative_energy_mev_per_atom": 319.2, "magnetic_moment_mub_per_cell": 0.0, "rho_g_cm3": 13.8, "lattice_angstrom": [[3.347, 0.000, 0.000], [0.000, 3.347, 0.000], [0.000, 0.000, 6.349]], "species": ["Pt", "Pt", "Te", "As"], "fractional_positions": [[0.000, 0.000, 0.725], [0.000, 0.000, 0.275], [0.500, 0.500, 0.000], [0.500, 0.500, 0.500]]}

Record 29
{"formula": "Te2AsPt", "functional": "PBEsol", "state": "optimized geometry", "spacegroup": "I-42d", "total_energy_ev_per_atom": -4.6332, "formation_energy_uncorrected_ev_per_atom": 0.147, "magnetic_moment_mub_per_cell": 0.0, "rho_g_cm3": 7.3, "lattice_angstrom": [[-5.491, 1.671, -2.412], [-1.698, -5.984, -0.281], [1.239, 2.560, 6.990]], "species": ["Te", "Te", "Te", "Te", "Pt", "Pt", "As", "As"], "fractional_positions": [[0.125, 0.093, 0.750], [0.343, 0.875, 0.250], [0.907, 0.375, 0.250], [0.625, 0.657, 0.750], [0.000, 0.000, 0.000], [0.250, 0.750, 0.500], [0.500, 0.500, 0.000], [0.750, 0.250, 0.500]]}